Here is a relaxed structure of CrCo3Ni4 from the Alexandria database. Energies are from PBE.

For the total energy, the calculation gives -6.7163 eV per atom. Its space group is I4/mmm (139).

Unit cell a=3.472 b=3.479 c=7.632 alpha=76.81 beta=103.15 gamma=90.00
Last column: magnetic moment on the atom in μB.
Fractional coordinates of all 8 atoms:
1 Co 0.000 0.500 0.000  0.33
2 Ni 0.375 0.625 0.750  0.48
3 Ni 0.625 0.375 0.250  0.48
4 Ni 0.125 0.875 0.249  0.48
5 Cr 0.500 0.000 0.000  1.08
6 Co 0.248 0.252 0.497  1.76
7 Ni 0.875 0.125 0.751  0.48
8 Co 0.752 0.748 0.503  1.76

***

Here is a relaxed structure of Cs2AsPdI6 from the Alexandria database. Energies are from PBE.

For the total energy, the calculation gives -2.7911 eV per atom. Its space group is I4/mmm (139). Its energy relative to the elements, uncorrected is -0.71 eV per atom.

Unit cell a=8.222 b=8.222 c=8.188 alpha=59.87 beta=59.87 gamma=90.00
Fractional coordinates of all 10 atoms:
1 I 0.754 0.754 0.492
2 I 0.753 0.753 0.000
3 I 0.247 0.247 0.000
4 I 0.247 0.753 0.000
5 Cs 0.750 0.250 0.500
6 Pd 0.000 0.000 0.000
7 As 0.500 0.500 0.000
8 I 0.246 0.246 0.508
9 Cs 0.250 0.750 0.500
10 I 0.753 0.247 0.000

***

Here is a relaxed structure of K2Hg3Pd from the Alexandria database. Energies are from PBE.

For the total energy, the calculation gives -1.5730 eV per atom. Its space group is Pmm2 (25).

Unit cell a=4.332 b=4.991 c=8.775 alpha=90.00 beta=90.00 gamma=90.00
Fractional coordinates of all 6 atoms:
1 Hg 0.500 0.000 0.190
2 Hg 0.500 0.000 0.839
3 Hg 0.500 0.500 0.637
4 K 0.000 0.000 0.487
5 K 0.000 0.500 0.022
6 Pd 0.500 0.500 0.324

***

Here is a relaxed structure of ZrMn2Cr from the Alexandria database. Energies are from PBE.

For the total energy, the calculation gives -8.9965 eV per atom. Its space group is P4mm (99).

Unit cell a=2.947 b=2.947 c=6.836 alpha=90.00 beta=90.00 gamma=90.01
Last column: magnetic moment on the atom in μB.
Fractional coordinates of all 4 atoms:
1 Cr 0.500 0.500 0.799  1.84
2 Mn 0.000 0.000 0.993  -2.18
3 Mn 0.500 0.500 0.204  2.74
4 Zr 0.000 0.000 0.504  -0.29

***

Here is a relaxed structure of CdAs2I from the Alexandria database. Energies are from PBE.

For the total energy, the calculation gives -2.3427 eV per atom. Its space group is Fm-3m (225). Its energy relative to the elements, uncorrected is 0.60 eV per atom.

Unit cell a=5.143 b=5.143 c=5.143 alpha=60.00 beta=60.00 gamma=60.00
Fractional coordinates of all 4 atoms:
1 As 0.750 0.750 0.750
2 As 0.250 0.250 0.250
3 I 0.500 0.500 0.500
4 Cd 0.000 0.000 0.000

***

Here is a relaxed structure of La3PtAu from the Alexandria database. Energies are from PBE.

For the total energy, the calculation gives -5.1997 eV per atom. Its space group is Pm-3m (221).

Unit cell a=5.644 b=5.644 c=5.644 alpha=90.00 beta=90.00 gamma=90.00
Fractional coordinates of all 5 atoms:
1 Au 0.500 0.500 0.500
2 Pt 0.000 0.000 0.000
3 La 0.000 0.000 0.500
4 La 0.500 0.000 0.000
5 La 0.000 0.500 0.000

***

Here is a relaxed structure of TlCoCl2 from the Alexandria database. Energies are from PBE.

For the total energy, the calculation gives -3.7365 eV per atom. Its space group is I-42d (122). Its energy relative to the elements, uncorrected is -0.45 eV per atom.

Unit cell a=7.544 b=7.544 c=6.325 alpha=53.39 beta=53.39 gamma=90.00
Last column: magnetic moment on the atom in μB.
Fractional coordinates of all 8 atoms:
1 Cl 0.875 0.760 0.750  0.07
2 Tl 0.000 0.000 0.000  -0.03
3 Co 0.250 0.750 0.500  1.90
4 Co 0.500 0.500 0.000  1.89
5 Cl 0.375 0.490 0.750  0.07
6 Cl 0.240 0.625 0.250  0.07
7 Cl 0.510 0.125 0.250  0.07
8 Tl 0.750 0.250 0.500  -0.03

***

Here is a relaxed structure of LiTa3V from the Alexandria database. Energies are from PBE.

For the total energy, the calculation gives -8.1060 eV per atom. Its space group is Pm-3m (221).

Unit cell a=4.688 b=4.688 c=4.688 alpha=90.00 beta=90.00 gamma=90.00
Fractional coordinates of all 5 atoms:
1 Ta 0.000 0.500 0.000
2 Ta 0.500 0.000 0.000
3 Ta 0.000 0.000 0.500
4 Li 0.500 0.500 0.500
5 V 0.000 0.000 0.000

***

| no. | DOS at the Fermi energy (states/eV/atom) |
| --- | --- |
| 1 | 1.352 |
| 2 | 0.342 |
| 3 | 0.427 |
| 4 | 0.925 |
| 5 | 0.793 |
| 6 | 2.092 |
| 7 | 0.341 |
| 8 | 1.692 |